(1)
Entry from Alexandria: a geometry-optimized Cd2MoBr structure (PBE).

Cell and atoms, written as POSCAR:
```
Cd2MoBr
1.0
5.1453 0.0000 0.0000
0.0000 3.0915 0.0000
-1.9262 0.0000 5.0983
Cd Mo Br
2 1 1
direct
0.0000 0.0000 0.0000 Cd
0.5000 0.5000 0.0000 Cd
0.0000 0.5000 0.5000 Mo
0.5000 0.0000 0.5000 Br
```

Properties
E_form (uncorrected), meV/atom: 603
Total energy, eV per atom: -2.9808
Magnetic moment, μB per formula unit: 0.00

---

(2)
Entry from Alexandria: a geometry-optimized CdMoBr2 structure (PBE).

Cell and atoms, written as POSCAR:
```
CdMoBr2
1.0
4.8992 0.0000 0.0000
0.0000 3.4586 0.0000
-2.4327 0.0000 5.4454
Cd Mo Br
1 1 2
direct
0.0000 0.0000 0.0000 Cd
0.5000 0.5000 0.5000 Mo
0.0000 0.0000 0.5000 Br
0.5000 0.5000 0.0000 Br
```

Properties
E_form (uncorrected), meV/atom: 547
Total energy, eV per atom: -3.2256
Magnetic moment, μB per formula unit: 3.19